No. 1
K4RbNa9 PBE relaxed; magnetization = 0.000 μB/cell; DFT total energy = -1.18 eV per atom; volume = 52.48 Å³/atom
1.0
0.107 6.047 -11.156
6.936 -9.370 -5.012
-11.163 -2.693 5.650
Na K Rb
18 8 2
direct
0.448 0.704 0.000
0.928 0.228 0.657
0.204 0.948 0.000
0.552 0.296 0.000
0.272 0.572 0.343
0.428 0.928 0.657
0.704 0.552 0.000
0.228 0.728 0.657
0.052 0.204 0.000
0.296 0.448 0.000
0.948 0.796 0.000
0.500 0.000 0.000
0.572 0.072 0.343
0.728 0.428 0.657
0.072 0.772 0.343
0.000 0.500 0.000
0.796 0.052 0.000
0.772 0.272 0.343
0.176 0.060 0.737
0.940 0.440 0.263
0.676 0.176 0.737
0.824 0.940 0.263
0.560 0.676 0.737
0.440 0.324 0.263
0.060 0.560 0.737
0.324 0.824 0.263
0.250 0.250 0.500
0.750 0.750 0.500


No. 2
Nd5Bi2Sb2 PBE relaxed; magnetization = 0.004 μB/cell; formation energy without anion corrections = -0.9695 eV per atom; excess energy over the best structure of this formula in the dataset = 0 meV per atom; volume = 32.04 Å³/atom
1.0
-6.712 -5.154 -0.759
2.242 -1.750 -7.941
3.325 -5.300 6.587
Sb Nd Bi
4 10 4
direct
0.141 0.641 0.000
0.859 0.359 0.000
0.641 0.859 0.000
0.359 0.141 0.000
0.161 0.471 0.267
0.500 0.500 0.000
0.161 0.205 0.733
0.000 0.000 0.000
0.661 0.029 0.733
0.839 0.529 0.733
0.661 0.295 0.267
0.339 0.705 0.733
0.339 0.971 0.267
0.839 0.795 0.267
0.500 0.702 0.404
0.000 0.202 0.404
0.500 0.298 0.596
0.000 0.798 0.596


No. 3
Sm2DyHoEr6 PBE relaxed; magnetization = 0.002 μB/cell; DFT total energy = -4.48 eV per atom; volume = 31.69 Å³/atom
1.0
1.051 -9.447 -1.231
4.821 0.281 7.247
-8.659 -0.384 0.845
Er Sm Dy Ho
12 4 2 2
direct
0.880 0.291 0.503
0.943 0.875 0.254
0.380 0.503 0.291
0.186 0.575 0.022
0.443 0.254 0.875
0.120 0.709 0.497
0.686 0.022 0.575
0.557 0.746 0.125
0.814 0.425 0.978
0.057 0.125 0.746
0.314 0.978 0.425
0.620 0.497 0.709
0.543 0.194 0.298
0.043 0.298 0.194
0.957 0.702 0.806
0.457 0.806 0.702
0.750 0.020 0.980
0.250 0.980 0.020
0.250 0.407 0.593
0.750 0.593 0.407


No. 4
CuSi3Rh PBE relaxed; magnetization = 0.000 μB/cell; formation energy without anion corrections = 0.8358 eV per atom; volume = 17.05 Å³/atom
1.0
-2.178 0.263 -3.816
0.267 -4.370 -0.454
-3.816 -0.456 2.146
Cu Si Rh
1 3 1
direct
0.000 0.000 0.000
0.000 0.000 0.500
0.500 0.000 0.000
0.000 0.500 0.000
0.500 0.500 0.500


No. 5
Hf2MnOsRu PBE relaxed; magnetization = 2.310 μB/cell; DFT total energy = -8.94 eV per atom; volume = 20.50 Å³/atom
1.0
4.896 0.000 0.000
0.000 4.277 0.000
0.000 0.000 4.896
Os Hf Ru Mn
1 2 1 1
direct
0.500 0.500 0.500
0.000 0.000 0.500
0.500 0.000 0.000
0.000 0.000 0.000
0.000 0.500 0.000


No. 6
PaH6PdRu PBE relaxed; magnetization = 0.001 μB/cell; DFT total energy = -5.05 eV per atom; volume = 8.70 Å³/atom
1.0
4.659 0.000 0.000
2.329 4.034 0.000
0.000 0.000 4.166
Pa H Pd Ru
1 6 1 1
direct
0.000 0.000 0.000
0.490 0.491 0.788
0.491 0.490 0.212
0.490 0.019 0.212
0.491 0.019 0.788
0.019 0.490 0.788
0.019 0.491 0.212
0.667 0.667 0.500
0.333 0.333 0.500


- The highest volume belongs to which entry?
  K4RbNa9